[1]
# Ho2PBr3

A relaxed Ho2PBr3 crystal (PBE-GGA, Alexandria via LeMat-Bulk).

E_form (uncorrected) ... -9.7 eV/f.u.

Lattice parameters (Å, degrees): 17.242 4.237 12.549 90.00 124.74 90.00
Space group C2/m (No. 12)
Asymmetric unit:
1 Ho 0.102 0.000 0.458 [4 per cell]
2 Ho 0.136 0.500 0.819 [4 per cell]
3 P 0.089 0.000 0.664 [4 per cell]
4 Br 0.054 0.500 0.260 [4 per cell]
5 Br 0.162 0.000 0.014 [4 per cell]
6 Br 0.235 0.500 0.605 [4 per cell]

[2]
# Ac4TlAgIr2

A relaxed Ac4TlAgIr2 crystal (PBE-GGA, Alexandria via LeMat-Bulk).

Calculated formation energy ... -261 kJ/mol of formula units

Lattice parameters (Å, degrees): 4.446 13.997 16.520 90.00 90.00 90.00
Space group Cmcm (No. 63)
Asymmetric unit:
1 Ac 0.000 0.000 0.000 [4 per cell]
2 Ac 0.000 0.278 0.087 [8 per cell]
3 Ac 0.000 0.477 0.750 [4 per cell]
4 Tl 0.000 0.171 0.750 [4 per cell]
5 Ag 0.000 0.177 0.250 [4 per cell]
6 Ir 0.000 0.368 0.577 [8 per cell]